## i
Density functional theory data (PBE) for crystalline NaS3I at its relaxed geometry.

Cell: 5.296 5.296 5.296 Å, 90.00 90.00 90.00°
Space group Pm-3m (No. 221)
Asymmetric unit:
Na: 0.000 0.000 0.000 [1 per cell]
S: 0.000 0.000 0.500 [3 per cell]
I: 0.500 0.500 0.500 [1 per cell]

---

## ii
Density functional theory data (PBE) for crystalline NaS3I at its relaxed geometry.

Cell: 5.155 5.155 5.155 Å, 90.00 90.00 90.00°
Space group Pm-3m (No. 221)
Asymmetric unit:
Na: 0.000 0.000 0.000 [1 per cell]
S: 0.000 0.500 0.500 [3 per cell]
I: 0.500 0.500 0.500 [1 per cell]

---

Here are the energies relative to the best structure, in meV per atom: i 604; ii 0.

---

## i
Density functional theory data (PBE) for crystalline NaSI2 at its relaxed geometry.

Cell: 4.7612 4.7612 25.8398 Å, 90.00 90.00 120.00°
Space group R-3m (No. 166, hexagonal axes)
Asymmetric unit:
Na: 0.0000 0.0000 0.0000 [3 per cell]
S: 0.0000 0.0000 0.5000 [3 per cell]
I: 0.0000 0.0000 0.3987 [6 per cell]

---

## ii
Density functional theory data (PBE) for crystalline NaSI2 at its relaxed geometry.

Cell: 6.121 6.121 17.327 Å, 90.00 90.00 90.00°
Space group I-42d (No. 122)
Asymmetric unit:
Na: 0.000 0.000 0.000 [4 per cell]
S: 0.000 0.000 0.500 [4 per cell]
I: 0.182 0.250 0.625 [8 per cell]

---

Here are the energies relative to the best structure, in meV per atom: i 0; ii 74.